Computed, not measured: a relaxed structure of KCrPF2 at the PBE+U level of DFT.

a b c (Å): 4.1363 4.1363 8.1061
angles (deg): 90.00 90.00 90.00
Fractional coordinates of all 5 atoms:
K  0.0000  0.0000  0.0000
Cr  0.0000  0.0000  0.5000
P  0.5000  0.5000  0.0000
F  0.0000  0.5000  0.5000
F  0.5000  0.0000  0.5000

Summary:
The calculation puts the total magnetic moment at 6.0 μB per cell. For the distance to the lowest polymorph of the same formula, the calculation gives 0.00 kcal/mol of atoms.